[1]
# CsSr2I

A relaxed CsSr2I crystal (PBE-GGA, Alexandria via LeMat-Bulk).

Energy above the most stable polymorph in this dataset (meV per atom): 0
Size of the total moment (μB per atom): 0.000

Unit cell a=7.941 b=7.941 c=22.075 alpha=90.00 beta=90.00 gamma=90.00
Space group I-42d (No. 122)
Symmetry-distinct sites (fractional):
1 Cs 0.000 0.000 0.000 (multiplicity 4)
2 Sr 0.013 0.250 0.625 (multiplicity 8)
3 I 0.000 0.000 0.500 (multiplicity 4)

[2]
# CsSrI3

A relaxed CsSrI3 crystal (PBE-GGA, Alexandria via LeMat-Bulk).

Size of the total moment (μB per atom): 0.000

Unit cell a=8.457 b=15.219 c=9.727 alpha=90.00 beta=107.86 gamma=90.00
Space group Cm (No. 8)
Symmetry-distinct sites (fractional):
1 Cs 0.000 0.157 0.000 (multiplicity 4)
2 Sr 0.178 0.163 0.520 (multiplicity 4)
3 I 0.071 0.314 0.721 (multiplicity 4)
4 I 0.119 0.000 0.728 (multiplicity 2)
5 I 0.226 0.000 0.310 (multiplicity 2)
6 I 0.292 0.303 0.303 (multiplicity 4)

[3]
# CsSrI3

A relaxed CsSrI3 crystal (PBE-GGA, Alexandria via LeMat-Bulk).

Size of the total moment (μB per atom): 0.000

Unit cell a=5.8017 b=5.8017 c=20.5622 alpha=90.00 beta=90.00 gamma=120.00
Space group P6_3/mmc (No. 194)
Symmetry-distinct sites (fractional):
1 Cs 0.0000 0.0000 0.0000 (multiplicity 2)
2 Sr 0.3333 0.6667 0.2500 (multiplicity 2)
3 I 0.0000 0.0000 0.2500 (multiplicity 2)
4 I 0.3333 0.6667 0.0961 (multiplicity 4)

[4]
# CsSrI3

A relaxed CsSrI3 crystal (PBE-GGA, Alexandria via LeMat-Bulk).

Size of the total moment (μB per atom): 0.000

Unit cell a=20.739 b=4.756 c=11.280 alpha=90.00 beta=98.45 gamma=90.00
Space group C2/m (No. 12)
Symmetry-distinct sites (fractional):
1 Cs 0.189 0.000 0.257 (multiplicity 4)
2 Sr 0.078 0.000 0.786 (multiplicity 4)
3 I 0.031 0.500 0.278 (multiplicity 4)
4 I 0.153 0.500 0.959 (multiplicity 4)
5 I 0.176 0.000 0.600 (multiplicity 4)

[5]
# CsSrI3

A relaxed CsSrI3 crystal (PBE-GGA, Alexandria via LeMat-Bulk).

Size of the total moment (μB per atom): 0.000

Unit cell a=5.9822 b=5.9822 c=18.8442 alpha=90.00 beta=90.00 gamma=120.00
Space group P6_3/mmc (No. 194)
Symmetry-distinct sites (fractional):
1 Cs 0.3333 0.6667 0.2500 (multiplicity 2)
2 Sr 0.0000 0.0000 0.0000 (multiplicity 2)
3 I 0.0000 0.0000 0.2500 (multiplicity 2)
4 I 0.3333 0.6667 0.0504 (multiplicity 4)

[6]
# CsSrI3

A relaxed CsSrI3 crystal (PBE-GGA, Alexandria via LeMat-Bulk).

Size of the total moment (μB per atom): 0.000

Unit cell a=4.887 b=10.781 c=10.789 alpha=72.55 beta=77.24 gamma=77.24
Space group P1 (No. 1)
Symmetry-distinct sites (fractional):
1 Cs 0.000 0.000 0.000 (multiplicity 1)
2 Cs 0.482 0.529 0.526 (multiplicity 1)
3 Sr 0.272 0.489 0.997 (multiplicity 1)
4 Sr 0.272 0.999 0.487 (multiplicity 1)
5 I 0.250 0.768 0.766 (multiplicity 1)
6 I 0.323 0.184 0.182 (multiplicity 1)
7 I 0.642 0.145 0.607 (multiplicity 1)
8 I 0.642 0.609 0.143 (multiplicity 1)
9 I 0.904 0.390 0.827 (multiplicity 1)
10 I 0.904 0.829 0.388 (multiplicity 1)

Formation energy without anion corrections per entry: -0.238; -1.627; -1.577; -1.592; -1.426; -1.635 eV/atom